1.
Density functional theory data (GGA-PBE) for a geometry-optimized Y2CoB structure.

The structure in POSCAR format:
```
Y2CoB
1.0
3.595 0.000 0.000
-1.798 3.114 0.000
0.000 0.000 14.301
Y Co B
4 2 2
direct
0.333 0.667 0.114
0.333 0.667 0.386
0.667 0.333 0.614
0.667 0.333 0.886
0.333 0.667 0.750
0.667 0.333 0.250
0.000 0.000 0.000
0.000 0.000 0.500
```

2.
Density functional theory data (GGA-PBE) for a geometry-optimized YCo2B2 structure.

The structure in POSCAR format:
```
YCo2B2
1.0
-1.778 1.778 4.712
1.778 -1.778 4.712
1.778 1.778 -4.712
Y Co B
1 2 2
direct
0.000 0.000 0.000
0.250 0.750 0.500
0.750 0.250 0.500
0.347 0.347 0.000
0.653 0.653 0.000
```

3.
Density functional theory data (GGA-PBE) for a geometry-optimized Y4CoB13 structure.

The structure in POSCAR format:
```
Y4CoB13
1.0
7.315 0.000 0.000
0.000 7.315 0.000
0.000 0.000 6.917
Y Co B
8 2 26
direct
0.181 0.316 0.000
0.184 0.319 0.500
0.316 0.819 0.000
0.319 0.816 0.500
0.681 0.184 0.500
0.684 0.181 0.000
0.816 0.681 0.500
0.819 0.684 0.000
0.000 0.000 0.500
0.500 0.500 0.000
0.000 0.000 0.000
0.039 0.830 0.246
0.039 0.830 0.754
0.091 0.591 0.250
0.091 0.591 0.750
0.170 0.039 0.246
0.170 0.039 0.754
0.330 0.539 0.254
0.330 0.539 0.746
0.409 0.091 0.250
0.409 0.091 0.750
0.461 0.330 0.254
0.461 0.330 0.746
0.500 0.500 0.500
0.539 0.670 0.254
0.539 0.670 0.746
0.591 0.909 0.250
0.591 0.909 0.750
0.670 0.461 0.254
0.670 0.461 0.746
0.830 0.961 0.246
0.830 0.961 0.754
0.909 0.409 0.250
0.909 0.409 0.750
0.961 0.170 0.246
0.961 0.170 0.754
```

no.,E (eV/atom)
1,-6.42
2,-7.37
3,-7.12